1.
First-principles (PBE) data for Tl3Hg6Bi2 after structural relaxation, as listed in Alexandria.

The structure belongs to space group P-1 (No. 2); the cell edges are 5.8221, 5.8815 and 9.7888 Å and the angles 92.76°, 105.45° and 94.53°. The asymmetric unit holds Tl at (0.0000, 0.0000, 0.0000), Tl at (0.1890, 0.0688, 0.3814), Hg at (0.0856, 0.5301, 0.1811), Hg at (0.2723, 0.6121, 0.5458), Hg at (0.4410, 0.7128, 0.8951) and Bi at (0.3914, 0.1879, 0.7634).

As for the density: 11.552 g/cm3. As for the final energy: -16.5 eV/cell. As for the energy of formation: 0.014 eV/atom.

2.
First-principles (PBE) data for Tl2Hg2Bi after structural relaxation, as listed in Alexandria.

The structure belongs to space group I4/mmm (No. 139); the cell edges are 4.6688, 4.6688 and 14.1731 Å and the angles 90.00°, 90.00° and 90.00°. The asymmetric unit holds Tl at (0.0000, 0.5000, 0.2500), Hg at (0.0000, 0.0000, 0.0984) and Bi at (0.0000, 0.0000, 0.5000).

As for the density: 10.953 g/cm3. As for the final energy: -16.8 eV/cell. As for the energy of formation: 0.159 eV/atom.

3.
First-principles (PBE) data for Tl2HgBi4 after structural relaxation, as listed in Alexandria.

The structure belongs to space group I4/mmm (No. 139); the cell edges are 6.6328, 6.6328 and 10.8176 Å and the angles 90.00°, 90.00° and 90.00°. The asymmetric unit holds Tl at (0.0000, 0.5000, 0.0000), Hg at (0.0000, 0.0000, 0.0000) and Bi at (0.2500, 0.2500, 0.2500).

As for the density: 10.086 g/cm3. As for the final energy: -39.9 eV/cell. As for the energy of formation: 0.090 eV/atom.

> energy of formation of number 1 (Tl3Hg6Bi2)?

0.014 eV/atom

Repeat the first record exactly.
First-principles (PBE) data for Tl3Hg6Bi2 after structural relaxation, as listed in Alexandria.

The structure belongs to space group P-1 (No. 2); the cell edges are 5.8221, 5.8815 and 9.7888 Å and the angles 92.76°, 105.45° and 94.53°. The asymmetric unit holds Tl at (0.0000, 0.0000, 0.0000), Tl at (0.1890, 0.0688, 0.3814), Hg at (0.0856, 0.5301, 0.1811), Hg at (0.2723, 0.6121, 0.5458), Hg at (0.4410, 0.7128, 0.8951) and Bi at (0.3914, 0.1879, 0.7634).

As for the density: 11.552 g/cm3. As for the final energy: -16.5 eV/cell. As for the energy of formation: 0.014 eV/atom.

Repeat the second record exactly.
First-principles (PBE) data for Tl2Hg2Bi after structural relaxation, as listed in Alexandria.

The structure belongs to space group I4/mmm (No. 139); the cell edges are 4.6688, 4.6688 and 14.1731 Å and the angles 90.00°, 90.00° and 90.00°. The asymmetric unit holds Tl at (0.0000, 0.5000, 0.2500), Hg at (0.0000, 0.0000, 0.0984) and Bi at (0.0000, 0.0000, 0.5000).

As for the density: 10.953 g/cm3. As for the final energy: -16.8 eV/cell. As for the energy of formation: 0.159 eV/atom.